This record from Alexandria describes an optimized crystal structure of Cd2SiAg. The functional is PBE-GGA.

a b c (Å): 10.8327 2.9012 5.0438
angles (deg): 90.00 95.71 90.00
Element x y z (fractional)
Cd1 0.2378 0.0000 0.2474
Cd2 0.2622 0.5000 0.7526
Cd3 0.7378 0.5000 0.2474
Cd4 0.7622 0.0000 0.7526
Si1 0.0000 0.0000 0.5000
Si2 0.5000 0.5000 0.5000
Ag1 0.0000 0.5000 0.0000
Ag2 0.5000 0.0000 0.0000

Values from the calculation:
M_tot in μB per formula unit: 0.0
Raw total energy in eV per cell: -18.3
Formation energy without anion corrections in eV/atom: 0.236